(1)
Computed, not measured: a relaxed Tb2Th2As5 crystal at the GGA-PBE level of DFT. Values from VASP.

The energy relative to the elements comes out at -1.238 eV/atom. For the density, the calculation gives 8526 kg/m³.

```
&SYSTEM
  ibrav = 0, nat = 18, ntyp = 3
/
ATOMIC_SPECIES
Tb 158.93 Tb.upf
Th 232.04 Th.upf
As 74.92 As.upf
CELL_PARAMETERS angstrom
-2.656 7.298 -1.024
0.987 -0.797 -8.238
-6.993 -1.972 4.084
ATOMIC_POSITIONS crystal
Tb 0.341 0.156 0.156
Tb 0.659 0.844 0.844
Tb 0.841 0.344 0.344
Tb 0.159 0.656 0.656
Th 0.000 0.806 0.194
Th 0.500 0.306 0.694
Th 0.000 0.194 0.806
Th 0.500 0.694 0.306
As 0.000 0.000 0.000
As 0.500 0.500 0.500
As 0.152 0.208 0.483
As 0.848 0.517 0.792
As 0.652 0.017 0.292
As 0.348 0.708 0.983
As 0.848 0.792 0.517
As 0.152 0.483 0.208
As 0.348 0.983 0.708
As 0.652 0.292 0.017
```

---

(2)
Computed, not measured: a relaxed Ce2HfCo3H12 crystal at the GGA-PBE level of DFT. Values from VASP.

For the density, the calculation gives 7272 kg/m³.

```
&SYSTEM
  ibrav = 0, nat = 18, ntyp = 4
/
ATOMIC_SPECIES
Ce 140.12 Ce.upf
Hf 178.49 Hf.upf
Co 58.93 Co.upf
H 1.01 H.upf
CELL_PARAMETERS angstrom
-0.547 -0.606 -5.657
4.862 -1.261 -2.728
0.348 -5.397 -1.849
ATOMIC_POSITIONS crystal
Ce 0.600 0.600 0.600
Ce 0.400 0.400 0.400
Hf 0.000 0.000 0.000
Co 0.500 0.000 0.000
Co 0.000 0.500 0.000
Co 0.000 0.000 0.500
H 0.282 0.282 0.887
H 0.870 0.870 0.407
H 0.407 0.870 0.870
H 0.887 0.282 0.282
H 0.870 0.407 0.870
H 0.282 0.887 0.282
H 0.718 0.718 0.113
H 0.130 0.130 0.593
H 0.593 0.130 0.130
H 0.113 0.718 0.718
H 0.130 0.593 0.130
H 0.718 0.113 0.718
```

---

Number 1: electronic total energy -6.50 eV/atom, M_tot 0.000 μB/atom. Number 2: electronic total energy -4.91 eV/atom, M_tot 0.092 μB/atom.